First-principles (PBE) data for crystalline Zn2InW at its relaxed geometry, as listed in Alexandria via LeMat-Bulk.

Raw total energy = -4.08 eV per atom

Cell lengths 3.158, 3.158, 6.826 Å; angles 90.00, 90.00, 90.00 degrees
Each line ends with the local moment (μB).
Fractional positions:
Zn  0.000  0.000  0.007  0.01
Zn  0.500  0.500  0.209  0.00
In  0.000  0.000  0.498  0.00
W  0.500  0.500  0.786  0.22